Computed, not measured: a relaxed LiTcAg crystal at the PBE level of DFT.

## Properties
The value obtained for the calculated total energy is -4.74 eV per atom. As for the crystal system: orthorhombic. Its formation energy from the elements is 0.30 eV/atom. As for the density of states at the Fermi level: 11.3 states/eV/cell. For the excess energy over the best structure of this formula in the dataset, the calculation gives 16 meV/atom.

Cell: 2.9862 4.3825 14.2013 Å, 90.00 90.00 90.00°
With the nearest neighbours (Å) after each atom.
Element x y z (fractional)
Li: 0.0000 0.0000 0.0000  4 Li 2.65, 2 Tc 2.73, 2 Ag 2.77
Li: 0.0000 0.5000 0.5000  4 Li 2.65, 2 Tc 2.73, 2 Ag 2.77
Li: 0.5000 0.0000 0.5000  4 Li 2.65, 2 Tc 2.73, 2 Ag 2.77
Li: 0.5000 0.5000 0.0000  4 Li 2.65, 2 Tc 2.73, 2 Ag 2.77
Tc: 0.0000 0.0000 0.3390  4 Tc 2.65, 2 Li 2.73, 2 Ag 2.90
Tc: 0.0000 0.5000 0.8390  4 Tc 2.65, 2 Li 2.73, 2 Ag 2.90
Tc: 0.5000 0.0000 0.8390  4 Tc 2.65, 2 Li 2.73, 2 Ag 2.90
Tc: 0.5000 0.5000 0.3390  4 Tc 2.65, 2 Li 2.73, 2 Ag 2.90
Ag: 0.0000 0.0000 0.6641  4 Ag 2.65, 2 Li 2.77, 2 Tc 2.90
Ag: 0.0000 0.5000 0.1641  4 Ag 2.65, 2 Li 2.77, 2 Tc 2.90
Ag: 0.5000 0.0000 0.1641  4 Ag 2.65, 2 Li 2.77, 2 Tc 2.90
Ag: 0.5000 0.5000 0.6641  4 Ag 2.65, 2 Li 2.77, 2 Tc 2.90

=====

Computed, not measured: a relaxed HfTlS2 crystal at the PBE level of DFT.

## Properties
The value obtained for the calculated total energy is -5.94 eV per atom. As for the crystal system: tetragonal. As for the density of states at the Fermi level: 11.6 states/eV/cell. The formation energy without anion corrections comes out at -0.7979 eV per atom.

Cell: 6.7209 6.7209 11.2598 Å, 90.00 90.00 90.00°
With the nearest neighbours (Å) after each atom.
Element x y z (fractional)
Hf: 0.0000 0.0000 0.0000  4 S 2.41
Hf: 0.0000 0.5000 0.2500  4 S 2.41
Hf: 0.5000 0.0000 0.7500  4 S 2.41
Hf: 0.5000 0.5000 0.5000  4 S 2.41
Tl: 0.0000 0.0000 0.5000  4 S 3.21
Tl: 0.0000 0.5000 0.7500  4 S 3.21
Tl: 0.5000 0.0000 0.2500  4 S 3.21
Tl: 0.5000 0.5000 0.0000  4 S 3.21
S: 0.1507 0.2500 0.1250  2 Hf 2.41
S: 0.2500 0.6507 0.3750  2 Hf 2.41
S: 0.2500 0.8493 0.8750  2 Hf 2.41
S: 0.3493 0.2500 0.6250  2 Hf 2.41
S: 0.6507 0.7500 0.6250  2 Hf 2.41
S: 0.7500 0.1507 0.8750  2 Hf 2.41
S: 0.7500 0.3493 0.3750  2 Hf 2.41
S: 0.8493 0.7500 0.1250  2 Hf 2.41

=====

Computed, not measured: a relaxed InGaHg crystal at the PBE level of DFT.

## Properties
The value obtained for the calculated total energy is -1.97 eV per atom. As for the crystal system: triclinic. Its formation energy from the elements is 0.05 eV/atom. As for the density of states at the Fermi level: 2.5 states/eV/cell.

Cell: 3.1737 6.8718 7.0557 Å, 103.39 100.06 93.26°
With the nearest neighbours (Å) after each atom.
Element x y z (fractional)
In: 0.1683 0.3127 0.3541  3 Hg 3.05-3.26, 3 Ga 3.11-3.15, 4 In 3.17-3.27
In: 0.8317 0.6873 0.6459  3 Hg 3.05-3.26, 3 Ga 3.11-3.15, 4 In 3.17-3.27
Ga: 0.2208 0.8517 0.3318  2 Hg 2.90-3.01, 3 Ga 2.97-3.17, 3 In 3.11-3.15
Ga: 0.7792 0.1483 0.6682  2 Hg 2.90-3.01, 3 Ga 2.97-3.17, 3 In 3.11-3.15
Hg: 0.0000 0.5000 0.0000  2 Ga 2.90, 2 In 3.05, 2 Hg 3.17
Hg: 0.5000 0.0000 0.0000  4 Ga 3.01-3.35, 2 Hg 3.17, 4 In 3.24-3.26

=====

Computed, not measured: a relaxed KAc2MnSe4 crystal at the PBE level of DFT.

## Properties
The value obtained for the calculated total energy is -5.55 eV per atom. As for the crystal system: orthorhombic. As for the density of states at the Fermi level: 6.7 states/eV/cell. The formation energy without anion corrections comes out at -1.4948 eV per atom.

Cell: 7.9001 7.9001 15.3785 Å, 90.00 90.00 147.69°
With the nearest neighbours (Å) after each atom.
Element x y z (fractional)
K: 0.1039 0.8961 0.7500  6 Se 3.49-3.56
K: 0.8961 0.1039 0.2500  6 Se 3.49-3.56
Ac: 0.3664 0.6336 0.5586  6 Se 3.08-3.14
Ac: 0.3664 0.6336 0.9414  6 Se 3.08-3.14
Ac: 0.6336 0.3664 0.0586  6 Se 3.08-3.14
Ac: 0.6336 0.3664 0.4414  6 Se 3.08-3.14
Mn: 0.1678 0.8322 0.2500  4 Se 2.51-2.61
Mn: 0.8322 0.1678 0.7500  4 Se 2.51-2.61
Se: 0.0000 0.0000 0.0000  4 Ac 3.12
Se: 0.0000 0.0000 0.5000  4 Ac 3.12
Se: 0.2675 0.7325 0.1195  1 Mn 2.51
Se: 0.2675 0.7325 0.3805  1 Mn 2.51
Se: 0.4255 0.5745 0.7500  2 Mn 2.61
Se: 0.5745 0.4255 0.2500  2 Mn 2.61
Se: 0.7325 0.2675 0.6195  1 Mn 2.51
Se: 0.7325 0.2675 0.8805  1 Mn 2.51

=====

Computed, not measured: a relaxed Cu5As crystal at the PBE level of DFT.

## Properties
The value obtained for the calculated total energy is -4.12 eV per atom. As for the crystal system: orthorhombic. Its formation energy from the elements is 0.07 eV/atom. As for the density of states at the Fermi level: 3.9 states/eV/cell.

Cell: 4.2628 2.7163 13.4456 Å, 90.00 90.00 90.00°
With the nearest neighbours (Å) after each atom.
Element x y z (fractional)
Cu: 0.0000 0.0000 0.0000  8 Cu 2.59-2.72, 4 As 2.64
Cu: 0.0000 0.0000 0.3246  10 Cu 2.55-2.72, 2 As 2.66
Cu: 0.0000 0.0000 0.6640  12 Cu 2.55-2.72
Cu: 0.0000 0.5000 0.1640  12 Cu 2.55-2.72
Cu: 0.0000 0.5000 0.5000  8 Cu 2.59-2.72, 4 As 2.64
Cu: 0.0000 0.5000 0.8246  10 Cu 2.55-2.72, 2 As 2.66
Cu: 0.5000 0.0000 0.1151  10 Cu 2.52-2.72, 2 As 2.68
Cu: 0.5000 0.0000 0.7728  10 Cu 2.52-2.72, 2 As 2.66
Cu: 0.5000 0.5000 0.2728  10 Cu 2.52-2.72, 2 As 2.66
Cu: 0.5000 0.5000 0.6151  10 Cu 2.52-2.72, 2 As 2.68
As: 0.5000 0.0000 0.4430  10 Cu 2.64-2.68, 2 As 2.72
As: 0.5000 0.5000 0.9430  10 Cu 2.64-2.68, 2 As 2.72

=====

Computed, not measured: a relaxed LaPr3DyEr crystal at the PBE level of DFT.

## Properties
The value obtained for the calculated total energy is -4.71 eV per atom. As for the crystal system: monoclinic. Its formation energy from the elements is 0.03 eV/atom. As for the density of states at the Fermi level: 20.0 states/eV/cell.

Cell: 8.1435 5.2037 10.3824 Å, 90.00 108.64 90.00°
With the nearest neighbours (Å) after each atom.
Element x y z (fractional)
La: 0.1719 0.2500 0.2922  3 Dy 3.63-3.64, 1 Er 3.64, 8 Pr 3.68-3.71
La: 0.8281 0.7500 0.7078  3 Dy 3.63-3.64, 1 Er 3.64, 8 Pr 3.68-3.71
Pr: 0.1709 0.2500 0.7928  1 Dy 3.62, 3 Er 3.63, 6 Pr 3.67-3.72, 2 La 3.71
Pr: 0.1720 0.7500 0.0418  3 Er 3.60-3.64, 1 Dy 3.62, 5 Pr 3.67-3.72, 3 La 3.68-3.70
Pr: 0.1716 0.7500 0.5437  1 Er 3.62, 3 Dy 3.63-3.65, 5 Pr 3.67-3.71, 3 La 3.69-3.71
Pr: 0.8284 0.2500 0.4563  1 Er 3.62, 3 Dy 3.63-3.65, 5 Pr 3.67-3.71, 3 La 3.69-3.71
Pr: 0.8280 0.2500 0.9582  3 Er 3.60-3.64, 1 Dy 3.62, 5 Pr 3.67-3.72, 3 La 3.68-3.70
Pr: 0.8291 0.7500 0.2072  1 Dy 3.62, 3 Er 3.63, 6 Pr 3.67-3.72, 2 La 3.71
Dy: 0.4998 0.2500 0.6264  5 Pr 3.62-3.65, 3 La 3.63-3.64, 2 Er 3.67, 2 Dy 3.70
Dy: 0.5002 0.7500 0.3736  5 Pr 3.62-3.65, 3 La 3.63-3.64, 2 Er 3.67, 2 Dy 3.70
Er: 0.4984 0.7500 0.8759  7 Pr 3.60-3.64, 1 La 3.64, 2 Er 3.66, 2 Dy 3.67
Er: 0.5016 0.2500 0.1241  7 Pr 3.60-3.64, 1 La 3.64, 2 Er 3.66, 2 Dy 3.67

=====

Computed, not measured: a relaxed LiSc2B crystal at the PBE level of DFT.

## Properties
The value obtained for the calculated total energy is -5.25 eV per atom. As for the crystal system: trigonal. Its formation energy from the elements is 0.07 eV/atom. As for the density of states at the Fermi level: 9.9 states/eV/cell.

Cell: 3.5264 3.5264 26.7085 Å, 90.00 90.00 120.00°
With the nearest neighbours (Å) after each atom.
Element x y z (fractional)
Li: 0.0000 0.0000 0.0000  2 Sc 3.25, 6 Li 3.53
Li: 0.3333 0.6667 0.6667  2 Sc 3.25, 6 Li 3.53
Li: 0.6667 0.3333 0.3333  2 Sc 3.25, 6 Li 3.53
Sc: 0.0000 0.0000 0.1217  3 B 2.36
Sc: 0.0000 0.0000 0.8783  3 B 2.36
Sc: 0.3333 0.6667 0.5449  3 B 2.36
Sc: 0.3333 0.6667 0.7884  3 B 2.36
Sc: 0.6667 0.3333 0.2116  3 B 2.36
Sc: 0.6667 0.3333 0.4551  3 B 2.36
B: 0.0000 0.0000 0.5000  6 Sc 2.36
B: 0.3333 0.6667 0.1667  6 Sc 2.36
B: 0.6667 0.3333 0.8333  6 Sc 2.36

=====

Computed, not measured: a relaxed Sr2LaPd2 crystal at the PBE level of DFT.

## Properties
The value obtained for the calculated total energy is -4.26 eV per atom. As for the crystal system: tetragonal. Its formation energy from the elements is -0.52 eV/atom. As for the density of states at the Fermi level: 10.8 states/eV/cell. For the excess energy over the best structure of this formula in the dataset, the calculation gives 0 meV/atom.

Cell: 7.8754 7.8754 4.7631 Å, 90.00 90.00 90.00°
With the nearest neighbours (Å) after each atom.
Element x y z (fractional)
Sr: 0.1651 0.3349 0.0000  6 Pd 3.30-3.34, 1 Sr 3.68
Sr: 0.3349 0.8349 0.0000  6 Pd 3.30-3.34, 1 Sr 3.68
Sr: 0.6651 0.1651 0.0000  6 Pd 3.30-3.34, 1 Sr 3.68
Sr: 0.8349 0.6651 0.0000  6 Pd 3.30-3.34, 1 Sr 3.68
La: 0.0000 0.0000 0.5000  4 Pd 3.09
La: 0.5000 0.5000 0.5000  4 Pd 3.09
Pd: 0.1293 0.6293 0.5000  1 Pd 2.88, 2 La 3.09
Pd: 0.3707 0.1293 0.5000  1 Pd 2.88, 2 La 3.09
Pd: 0.6293 0.8707 0.5000  1 Pd 2.88, 2 La 3.09
Pd: 0.8707 0.3707 0.5000  1 Pd 2.88, 2 La 3.09

=====

Computed, not measured: a relaxed YHo2Er3Sb6 crystal at the PBE level of DFT.

## Properties
The value obtained for the calculated total energy is -5.62 eV per atom. As for the crystal system: monoclinic. As for the density of states at the Fermi level: 1.9 states/eV/cell. The formation energy without anion corrections comes out at -1.1129 eV per atom.

Cell: 9.7585 9.7585 8.7300 Å, 102.87 102.87 25.84°
With the nearest neighbours (Å) after each atom.
Element x y z (fractional)
Y: 0.0000 0.0000 0.0000  6 Sb 3.10
Ho: 0.3332 0.3332 0.6666  6 Sb 3.09
Ho: 0.6668 0.6668 0.3334  6 Sb 3.09
Er: 0.0000 0.0000 0.5000  6 Sb 3.07-3.08
Er: 0.3336 0.3336 0.1668  6 Sb 3.08
Er: 0.6664 0.6664 0.8332  6 Sb 3.08
Sb: 0.1664 0.1664 0.5839  3 Er 3.08, 3 Ho 3.09
Sb: 0.1674 0.1674 0.0830  3 Er 3.08, 2 Ho 3.09, 1 Y 3.10
Sb: 0.4999 0.4999 0.2519  3 Er 3.07-3.08, 1 Ho 3.09, 2 Y 3.10
Sb: 0.5001 0.5001 0.7481  3 Er 3.07-3.08, 1 Ho 3.09, 2 Y 3.10
Sb: 0.8326 0.8326 0.9170  3 Er 3.08, 2 Ho 3.09, 1 Y 3.10
Sb: 0.8336 0.8336 0.4161  3 Er 3.08, 3 Ho 3.09

=====

Computed, not measured: a relaxed NaCaVN2 crystal at the PBE level of DFT.

## Properties
The value obtained for the calculated total energy is -3.98 eV per atom. As for the crystal system: tetragonal. As for the density of states at the Fermi level: 6.4 states/eV/cell. The formation energy without anion corrections comes out at 1.8400 eV per atom.

Cell: 4.4602 4.4602 4.3555 Å, 90.00 90.00 90.00°
With the nearest neighbours (Å) after each atom.
Element x y z (fractional)
Na: 0.0000 0.0000 0.0000  2 Ca 2.18
Ca: 0.0000 0.0000 0.5000  2 Na 2.18, 4 N 2.23
V: 0.5000 0.5000 0.0000  8 N 3.12, 4 Na 3.15
N: 0.0000 0.5000 0.5000  2 Ca 2.23
N: 0.5000 0.0000 0.5000  2 Ca 2.23

=====

Computed, not measured: a relaxed LiZnFe2Co crystal at the PBE level of DFT.

## Properties
The value obtained for the calculated total energy is -4.36 eV per atom. As for the crystal system: tetragonal. Its formation energy from the elements is 1.09 eV/atom. As for the density of states at the Fermi level: 4.7 states/eV/cell.

Cell: 4.4972 4.4972 4.4083 Å, 90.00 90.00 90.00°
With the nearest neighbours (Å) after each atom.
Element x y z (fractional)
Li: 0.0000 0.0000 0.0000  8 Fe 3.15, 4 Co 3.18
Zn: 0.5000 0.5000 0.5000  2 Co 2.20, 4 Fe 2.25
Fe: 0.0000 0.5000 0.5000  2 Zn 2.25
Fe: 0.5000 0.0000 0.5000  2 Zn 2.25
Co: 0.5000 0.5000 0.0000  2 Zn 2.20

=====

Computed, not measured: a relaxed TiTlCu3 crystal at the PBE level of DFT.

## Properties
The value obtained for the calculated total energy is -3.52 eV per atom. As for the crystal system: cubic. Its formation energy from the elements is 0.99 eV/atom. As for the density of states at the Fermi level: 3.7 states/eV/cell. For the excess energy over the best structure of this formula in the dataset, the calculation gives 0 meV/atom.

Cell: 4.8156 4.8156 4.8156 Å, 90.00 90.00 90.00°
With the nearest neighbours (Å) after each atom.
Element x y z (fractional)
Ti: 0.0000 0.0000 0.0000  6 Cu 2.41
Tl: 0.5000 0.5000 0.5000  12 Cu 3.41
Cu: 0.0000 0.0000 0.5000  2 Ti 2.41
Cu: 0.0000 0.5000 0.0000  2 Ti 2.41
Cu: 0.5000 0.0000 0.0000  2 Ti 2.41

=====

Computed, not measured: a relaxed In4Sn2Pb5 crystal at the PBE level of DFT.

## Properties
The value obtained for the calculated total energy is -3.26 eV per atom. As for the crystal system: orthorhombic. Its formation energy from the elements is 0.15 eV/atom. As for the density of states at the Fermi level: 5.1 states/eV/cell. For the excess energy over the best structure of this formula in the dataset, the calculation gives 83 meV/atom.

Cell: 13.1807 13.1807 13.1807 Å, 165.73 140.07 42.61°
With the nearest neighbours (Å) after each atom.
Element x y z (fractional)
In: 0.1644 0.1644 0.0000  1 Sn 2.98, 4 Pb 3.23, 2 In 3.27
In: 0.1655 0.5000 0.6655  3 In 2.98-3.27, 2 Pb 3.11
In: 0.8345 0.5000 0.3345  3 In 2.98-3.27, 2 Pb 3.11
In: 0.8356 0.8356 0.0000  1 Sn 2.98, 4 Pb 3.23, 2 In 3.27
Sn: 0.2857 0.2857 0.0000  1 In 2.98, 2 Pb 3.05, 2 Sn 3.27
Sn: 0.7143 0.7143 0.0000  1 In 2.98, 2 Pb 3.05, 2 Sn 3.27
Pb: 0.1642 0.3810 0.7832  1 Sn 3.05, 3 In 3.11-3.23, 2 Pb 3.27
Pb: 0.4023 0.6190 0.7832  1 Sn 3.05, 3 In 3.11-3.23, 2 Pb 3.27
Pb: 0.5000 0.0000 0.5000  2 Pb 3.27, 4 In 3.43
Pb: 0.5977 0.3810 0.2168  1 Sn 3.05, 3 In 3.11-3.23, 2 Pb 3.27
Pb: 0.8358 0.6190 0.2168  1 Sn 3.05, 3 In 3.11-3.23, 2 Pb 3.27